No. 1
Below is a relaxed structure of Te2AuSe, with properties calculated at the GGA-PBEsol level.

Summary:
* relative energy among the computed polymorphs: 0.19 eV/f.u.

Lattice parameters (Å, degrees): 3.0020 4.0736 8.1600 90.00 90.00 90.00
Last column: nearest neighbours and their distance in Å.
Element x y z (fractional)
Te  0.0000  0.0000  0.2715  2 Au 2.76, 2 Te 3.00, 2 Se 3.01
Te  0.0000  0.0000  0.7285  2 Au 2.76, 2 Te 3.00, 2 Se 3.01
Au  0.0000  0.5000  0.5000  4 Te 2.76, 2 Au 3.00
Se  0.0000  0.5000  0.0000  2 Se 3.00, 4 Te 3.01


No. 2
Below is a relaxed structure of TeAu2Se, with properties calculated at the GGA-PBEsol level.

Summary:
* E_tot: -15.30 eV/f.u.

Lattice parameters (Å, degrees): 4.0276 4.0743 6.5831 72.09 72.19 60.38
Last column: nearest neighbours and their distance in Å.
Element x y z (fractional)
Te  0.2894  0.2067  0.2145  3 Au 2.67-2.85, 1 Se 2.83
Au  0.0152  0.9831  0.9864  3 Te 2.67-2.85, 3 Au 2.70-2.88
Au  0.7434  0.7640  0.7492  3 Se 2.56-2.82, 2 Au 2.70
Se  0.4520  0.5462  0.5498  3 Au 2.56-2.82, 1 Te 2.83


No. 3
Below is a relaxed structure of Te2AuSe, with properties calculated at the GGA-PBEsol level.

Summary:
* relative energy among the computed polymorphs: 0.12 eV/f.u.

Lattice parameters (Å, degrees): 4.1423 4.1423 5.6452 90.00 90.00 90.00
Last column: nearest neighbours and their distance in Å.
Element x y z (fractional)
Te  0.0000  0.0000  0.5000  2 Au 2.82, 4 Se 2.93
Te  0.5000  0.5000  0.0000  2 Se 2.82, 4 Au 2.93
Au  0.0000  0.0000  0.0000  6 Te 2.82-2.93
Se  0.5000  0.5000  0.5000  6 Te 2.82-2.93


No. 4
Below is a relaxed structure of Te2AuSe, with properties calculated at the GGA-PBEsol level.

Summary:
* relative energy among the computed polymorphs: 0.10 eV/f.u.

Lattice parameters (Å, degrees): 4.1003 4.1003 6.4620 108.50 108.50 90.00
Last column: nearest neighbours and their distance in Å.
Element x y z (fractional)
Te  0.0000  0.0000  0.0000  4 Au 2.90, 1 Te 3.02, 1 Se 3.05
Te  0.7387  0.7387  0.4774  1 Au 2.79, 4 Se 2.91, 1 Te 3.02
Au  0.4974  0.4974  0.9948  1 Se 2.70, 5 Te 2.79-2.90
Se  0.2637  0.2637  0.5274  1 Au 2.70, 4 Te 2.91


No. 5
Below is a relaxed structure of Te2AuSe, with properties calculated at the GGA-PBEsol level.

Summary:
* relative energy among the computed polymorphs: 1.11 eV/f.u.

Lattice parameters (Å, degrees): 3.9060 3.9060 7.5808 104.93 104.93 90.00
Last column: nearest neighbours and their distance in Å.
Element x y z (fractional)
Au  0.5000  0.5000  0.0000  4 Te 2.76
Se  0.2500  0.7500  0.5000  4 Te 2.76
Te  0.0000  0.0000  0.0000  4 Au 2.76
Te  0.7500  0.2500  0.5000  4 Se 2.76


No. 6
Below is a relaxed structure of Te2AuSe, with properties calculated at the GGA-PBEsol level.

Summary:
* relative energy among the computed polymorphs: 1.63 eV/f.u.

Lattice parameters (Å, degrees): 4.4286 4.4286 8.3800 74.68 74.68 60.00
Last column: nearest neighbours and their distance in Å.
Element x y z (fractional)
Te  0.8935  0.8935  0.3194  1 Au 2.55
Te  0.1065  0.1065  0.6806  1 Au 2.55
Au  0.0000  0.0000  0.0000  2 Te 2.55
Se  0.5000  0.5000  0.5000  6 Te 2.94


No. 7
Below is a relaxed structure of Te2AuSe, with properties calculated at the GGA-PBEsol level.

Summary:
* relative energy among the computed polymorphs: 0.05 eV/f.u.

Lattice parameters (Å, degrees): 4.0473 5.0591 5.0591 110.61 90.00 90.00
Last column: nearest neighbours and their distance in Å.
Element x y z (fractional)
Te  0.0000  0.0020  0.9980  2 Au 2.88, 2 Te 3.06, 2 Se 3.07
Te  0.5000  0.7258  0.2742  2 Au 2.80, 2 Se 2.91, 2 Te 3.06
Au  0.0000  0.4927  0.5073  2 Se 2.69, 4 Te 2.80-2.88
Se  0.5000  0.2792  0.7208  2 Au 2.69, 2 Te 2.91


No. 8
Below is a relaxed structure of Te2AuSe, with properties calculated at the GGA-PBEsol level.

Summary:
* relative energy among the computed polymorphs: 0.00 eV/f.u.

Lattice parameters (Å, degrees): 4.0509 4.1193 7.0527 104.26 90.00 119.45
Last column: nearest neighbours and their distance in Å.
Element x y z (fractional)
Te  0.7205  0.4409  0.7219  3 Au 2.77-2.87, 1 Se 2.85
Te  0.2795  0.5591  0.2781  3 Au 2.77-2.87, 1 Se 2.85
Au  0.0000  0.0000  0.5000  6 Te 2.77-2.87
Se  0.5000  0.0000  0.0000  6 Te 2.85-3.12